DFT (PBE) results for crystalline Cs2SrFeBr6 at its relaxed geometry.

Results
DFT total energy   -3.647 eV/atom
Energy above the most stable polymorph in this dataset   0.018 eV per atom
Uncorrected formation energy   -1.46 eV per atom

a = 11.328 Å, b = 11.328 Å, c = 11.328 Å
α = 90.00°, β = 90.00°, γ = 90.00°
Space group Fm-3m (No. 225)
One atom of each set of equivalent atoms:
Cs 0.250 0.250 0.250
Sr 0.000 0.000 0.000
Fe 0.000 0.000 0.500
Br 0.000 0.000 0.267